Computed, not measured: a geometry-optimized HfTiSi structure at the PBE level of DFT.

Cell lengths 3.231, 4.358, 4.358 Å; angles 120.00, 90.00, 90.00 degrees
Element x y z (fractional)
Ti 0.111 0.000 0.000
Hf 0.635 0.333 0.667
Si 0.255 0.667 0.333

total DFT energy (no corrections) = -7.961 eV/atom
E_form (uncorrected) = -204 meV/atom
spin magnetization = 0.0 μB per formula unit
density of states at the Fermi level = 3.310 states/eV/f.u.

Computed, not measured: a geometry-optimized TbY4Tm2 structure at the PBE level of DFT.

Cell lengths 5.955, 6.651, 11.682 Å; angles 90.00, 105.57, 90.00 degrees
Element x y z (fractional)
Y 0.843 0.250 0.578
Y 0.366 0.505 0.709
Y 0.983 0.750 0.841
Y 0.157 0.750 0.422
Y 0.634 0.005 0.291
Y 0.366 0.995 0.709
Y 0.634 0.495 0.291
Y 0.017 0.250 0.159
Tb 0.165 0.750 0.138
Tb 0.835 0.250 0.862
Tm 0.727 0.750 0.557
Tm 0.400 0.250 0.993
Tm 0.600 0.750 0.007
Tm 0.273 0.250 0.443

formation energy from the elements = 0.138 eV/atom
total DFT energy (no corrections) = -5.494 eV/atom
spin magnetization = 0.0 μB per formula unit
density of states at the Fermi level = 12.700 states/eV/f.u.
distance to the lowest polymorph of the same formula = 107 meV per atom

Computed, not measured: a geometry-optimized Si3PdPb structure at the PBE level of DFT.

Cell lengths 4.786, 4.786, 4.786 Å; angles 90.00, 90.00, 90.00 degrees
Element x y z (fractional)
Si 0.500 0.000 0.000
Si 0.000 0.500 0.000
Si 0.000 0.000 0.500
Pb 0.500 0.500 0.500
Pd 0.000 0.000 0.000

total DFT energy (no corrections) = -4.525 eV/atom
E_form (uncorrected) = 509 meV/atom
spin magnetization = 0.0 μB per formula unit
density of states at the Fermi level = 1.407 states/eV/f.u.
distance to the lowest polymorph of the same formula = 0 meV per atom

Computed, not measured: a geometry-optimized NaC3O6 structure at the PBE level of DFT.

Cell lengths 3.514, 7.267, 7.267 Å; angles 117.45, 99.28, 99.28 degrees
Element x y z (fractional)
O 0.598 0.449 0.449
O 0.149 0.000 0.551
O 0.805 0.000 0.246
O 0.149 0.551 0.000
O 0.805 0.246 0.000
O 0.559 0.754 0.754
C 0.510 0.589 0.589
C 0.921 0.000 0.411
C 0.921 0.411 0.000
Na 0.244 0.000 0.000

total DFT energy (no corrections) = -7.003 eV/atom
E_form (uncorrected) = -1129 meV/atom
spin magnetization = 0.0 μB per formula unit
density of states at the Fermi level = 2.330 states/eV/f.u.
distance to the lowest polymorph of the same formula = 0 meV per atom

Computed, not measured: a geometry-optimized Pm3Sb3S structure at the PBE level of DFT.

Cell lengths 5.964, 5.964, 5.964 Å; angles 100.75, 100.75, 100.75 degrees
Element x y z (fractional)
Pm 0.003 0.003 0.485
Pm 0.003 0.485 0.003
Pm 0.485 0.003 0.003
S 0.990 0.990 0.990
Sb 0.556 0.556 0.206
Sb 0.206 0.556 0.556
Sb 0.556 0.206 0.556

total DFT energy (no corrections) = -5.427 eV/atom
E_form (uncorrected) = -1035 meV/atom
spin magnetization = 0.0 μB per formula unit
density of states at the Fermi level = 5.807 states/eV/f.u.

Computed, not measured: a geometry-optimized NaErTl2Cl6 structure at the PBE level of DFT.

Cell lengths 7.354, 7.659, 10.556 Å; angles 90.00, 89.64, 90.00 degrees
Element x y z (fractional)
Cl 0.810 0.785 0.956
Cl 0.913 0.521 0.241
Cl 0.711 0.308 0.958
Cl 0.690 0.285 0.544
Cl 0.413 0.979 0.741
Cl 0.211 0.192 0.458
Cl 0.190 0.215 0.044
Cl 0.289 0.692 0.042
Cl 0.587 0.021 0.259
Cl 0.310 0.715 0.456
Cl 0.789 0.808 0.542
Cl 0.087 0.479 0.759
Na 0.000 0.500 0.500
Na 0.500 0.000 0.000
Tl 0.982 0.064 0.749
Tl 0.518 0.564 0.751
Tl 0.018 0.936 0.251
Tl 0.482 0.436 0.249
Er 0.500 0.000 0.500
Er 0.000 0.500 0.000

total DFT energy (no corrections) = -3.887 eV/atom
E_form (uncorrected) = -1717 meV/atom
spin magnetization = 0.0 μB per formula unit
density of states at the Fermi level = 0.000 states/eV/f.u.